# NaB10Pb4Cl2O19

A geometry-optimized NaB10Pb4Cl2O19 structure (PBE, Alexandria).

Output
- ΔE_f (raw): -2073 meV/atom

Unit cell a=6.6994 b=11.6611 c=11.6401 alpha=90.00 beta=90.00 gamma=90.25
Last column: nearest neighbours and their distance in Å.
Fractional coordinates of all 72 atoms:
Na: 0.3737 0.9900 0.2719  4 O 2.35-2.60
Na: 0.8737 0.4900 0.7281  4 O 2.35-2.60
B: 0.1934 0.7620 0.2378  3 O 1.37-1.39
B: 0.1919 0.2495 0.2601  3 O 1.36-1.39
B: 0.6919 0.7495 0.7399  3 O 1.36-1.39
B: 0.6934 0.2620 0.7622  3 O 1.37-1.39
B: 0.3087 0.8324 0.0414  4 O 1.47-1.51
B: 0.2956 0.1771 0.4571  4 O 1.46-1.50
B: 0.7956 0.6771 0.5429  4 O 1.46-1.50
B: 0.8087 0.3324 0.9586  4 O 1.47-1.51
B: 0.9822 0.7224 0.0630  4 O 1.46-1.53
B: 0.9689 0.2849 0.4307  4 O 1.46-1.52
B: 0.4689 0.7849 0.5693  4 O 1.46-1.52
B: 0.4822 0.2224 0.9370  4 O 1.46-1.53
B: 0.1595 0.2947 0.0401  4 O 1.47-1.52
B: 0.1472 0.7178 0.4581  4 O 1.47-1.51
B: 0.6472 0.2178 0.5419  4 O 1.47-1.51
B: 0.6595 0.7947 0.9599  4 O 1.47-1.52
B: 0.5308 0.0000 0.9911  3 O 1.36-1.38
B: 0.5080 0.0125 0.5209  3 O 1.36-1.40
B: 0.0080 0.5125 0.4791  3 O 1.36-1.40
B: 0.0308 0.5000 0.0089  3 O 1.36-1.38
Pb: 0.1847 0.2472 0.7121  2 O 2.32-2.52
Pb: 0.1855 0.7426 0.7855  3 O 2.44-2.73
Pb: 0.6855 0.2426 0.2145  3 O 2.44-2.73
Pb: 0.6847 0.7472 0.2879  2 O 2.32-2.52
Pb: 0.5029 0.5364 0.0240  3 O 2.51-2.67
Pb: 0.4399 0.4690 0.5142  3 O 2.45-2.62
Pb: 0.9399 0.9690 0.4858  3 O 2.45-2.62
Pb: 0.0029 0.0364 0.9760  3 O 2.51-2.67
Cl: 0.6008 0.4720 0.2587  2 Pb 2.78-2.91
Cl: 0.1008 0.9720 0.7413  2 Pb 2.78-2.91
Cl: 0.9731 0.0195 0.2184  1 O 2.42
Cl: 0.4731 0.5195 0.7816  1 O 2.42
O: 0.9427 0.2676 0.0346  2 B 1.47-1.49
O: 0.9300 0.7450 0.4667  2 B 1.49
O: 0.4300 0.2450 0.5333  2 B 1.49
O: 0.4427 0.7676 0.9654  2 B 1.47-1.49
O: 0.0185 0.7205 0.1924  2 B 1.37-1.53
O: 0.0087 0.2836 0.3018  2 B 1.38-1.52
O: 0.5087 0.7836 0.6982  2 B 1.38-1.52
O: 0.5185 0.2205 0.8076  2 B 1.37-1.53
O: 0.6988 0.9412 0.3299  2 Pb 2.32-2.45, 1 Na 2.35, 1 Cl 2.42
O: 0.1988 0.4412 0.6701  2 Pb 2.32-2.45, 1 Na 2.35, 1 Cl 2.42
O: 0.3426 0.8041 0.1657  2 B 1.39-1.50
O: 0.3343 0.2031 0.3337  2 B 1.39-1.49
O: 0.8343 0.7031 0.6663  2 B 1.39-1.49
O: 0.8426 0.3041 0.8343  2 B 1.39-1.50
O: 0.0981 0.8172 0.0096  2 B 1.47-1.48
O: 0.0871 0.1956 0.4879  2 B 1.46-1.47
O: 0.5871 0.6956 0.5121  2 B 1.46-1.47
O: 0.5981 0.3172 0.9904  2 B 1.47-1.48
O: 0.3482 0.9594 0.0291  2 B 1.38-1.51
O: 0.3337 0.0518 0.4732  2 B 1.37-1.50
O: 0.8337 0.5518 0.5268  2 B 1.37-1.50
O: 0.8482 0.4594 0.9709  2 B 1.38-1.51
O: 0.5722 0.1144 0.9837  2 B 1.36-1.50
O: 0.5504 0.8987 0.5324  2 B 1.36-1.50
O: 0.0504 0.3987 0.4676  2 B 1.36-1.50
O: 0.0722 0.6144 0.0163  2 B 1.36-1.50
O: 0.1838 0.4237 0.0301  2 B 1.38-1.52
O: 0.1608 0.5888 0.4495  2 B 1.40-1.51
O: 0.6608 0.0888 0.5505  2 B 1.40-1.51
O: 0.6838 0.9237 0.9699  2 B 1.38-1.52
O: 0.7665 0.7344 0.0527  2 B 1.46-1.48
O: 0.7551 0.2649 0.4426  2 B 1.46-1.47
O: 0.2551 0.7649 0.5574  2 B 1.46-1.47
O: 0.2665 0.2344 0.9473  2 B 1.46-1.48
O: 0.2495 0.2573 0.1486  2 B 1.36-1.47
O: 0.2342 0.7698 0.3528  2 B 1.37-1.49
O: 0.7342 0.2698 0.6472  2 B 1.37-1.49
O: 0.7495 0.7573 0.8514  2 B 1.36-1.47

***

# Eu2GaRu

A geometry-optimized Eu2GaRu structure (PBE, Alexandria).

Output
- Formation energy from the elements: -0.27 eV per formula unit

Unit cell a=3.6082 b=3.6082 c=7.2003 alpha=90.00 beta=90.00 gamma=90.00
Last column: nearest neighbours and their distance in Å.
Fractional coordinates of all 4 atoms:
Eu: 0.0000 0.0000 0.7689  4 Ru 3.05, 4 Ga 3.20, 1 Eu 3.33
Eu: 0.0000 0.0000 0.2311  4 Ru 3.05, 4 Ga 3.20, 1 Eu 3.33
Ru: 0.5000 0.5000 0.0000  8 Eu 3.05
Ga: 0.5000 0.5000 0.5000  8 Eu 3.20

***

Number 1: total magnetization 0.0303 μB per atom. Number 2: total magnetization 3.3663 μB per atom.